A plane-wave DFT calculation with PBE was carried out for a geometry-optimized HfZrIr2 structure.

## Properties
The value obtained for the formation energy is -846 meV per atom.

Lattice parameters (Å, degrees): 3.2897 3.2897 6.6116 90.00 90.00 90.00
Sites, in units of the cell vectors:
Ir (0.0000, 0.0000, 0.7578)
Ir (0.0000, 0.0000, 0.2422)
Hf (0.5000, 0.5000, 0.0000)
Zr (0.5000, 0.5000, 0.5000)

A plane-wave DFT calculation with PBE was carried out for a geometry-optimized Hf7ZrIr5 structure.

## Properties
The value obtained for the formation energy is -652 meV per atom.

Lattice parameters (Å, degrees): 5.6005 7.2362 7.2362 81.74 67.23 67.23
Sites, in units of the cell vectors:
Hf (0.9900, 0.3492, 0.6709)
Hf (0.5143, 0.1732, 0.7983)
Hf (0.9900, 0.6709, 0.3492)
Hf (0.2686, 0.2314, 0.2314)
Hf (0.6523, 0.3477, 0.3477)
Hf (0.5143, 0.7983, 0.1732)
Hf (0.3199, 0.6801, 0.6801)
Ir (0.5040, 0.0024, 0.4902)
Ir (0.7458, 0.7542, 0.7542)
Ir (0.5040, 0.4902, 0.0024)
Ir (0.0034, 0.0024, 0.4902)
Ir (0.0034, 0.4902, 0.0024)
Zr (0.9902, 0.0098, 0.0098)

A plane-wave DFT calculation with PBE was carried out for a geometry-optimized Hf2Zr2Ir structure.

## Properties
The value obtained for the formation energy is -182 meV per atom. For the polymorph energy (0 for the lowest one), the calculation gives 0 meV/atom.

Lattice parameters (Å, degrees): 6.7975 6.7975 4.7959 90.00 90.00 90.00
Sites, in units of the cell vectors:
Hf (0.3461, 0.8461, 0.0000)
Hf (0.8461, 0.6539, 0.0000)
Hf (0.6539, 0.1539, 0.0000)
Hf (0.1539, 0.3461, 0.0000)
Zr (0.6552, 0.8448, 0.5000)
Zr (0.8448, 0.3448, 0.5000)
Zr (0.3448, 0.1552, 0.5000)
Zr (0.1552, 0.6552, 0.5000)
Ir (0.0000, 0.0000, 0.0000)
Ir (0.5000, 0.5000, 0.0000)